No. 1
The following is a PBE calculation of a geometry-optimized Ba2BeZn structure, from Alexandria via LeMat-Bulk.

Lattice parameters (Å, degrees): 8.9085 4.2674 8.4322 90.00 103.29 90.00
Closest atoms and distances in Å follow each position.
Space group C2/m (No. 12)
Symmetry-distinct sites (fractional):
Ba: 0.2447 0.0000 0.2310 (multiplicity 4)  3 Be 3.32-3.34, 3 Zn 3.49-3.54
Be: 0.0000 0.5000 0.0000 (multiplicity 2)  6 Ba 3.32-3.34
Zn: 0.0000 0.0000 0.5000 (multiplicity 2)  6 Ba 3.49-3.54

## Properties
Formation energy from the elements ... 0.427 eV/atom
Calculated volume ... 156.0 Å³/f.u.
Energy above the lowest structure with this stoichiometry ... 1.26 eV per formula unit
Total magnetization ... 0.7 Bohr magnetons per cell


No. 2
The following is a PBE calculation of a geometry-optimized BaBe2Zn structure, from Alexandria via LeMat-Bulk.

Lattice parameters (Å, degrees): 6.9244 4.0001 6.3252 90.00 110.59 90.00
Closest atoms and distances in Å follow each position.
Space group C2/m (No. 12)
Symmetry-distinct sites (fractional):
Ba: 0.0000 0.0000 0.0000 (multiplicity 2)  2 Be 3.17
Be: 0.1786 0.0000 0.5358 (multiplicity 4)  3 Zn 2.31-2.32, 3 Be 2.34-2.35
Zn: 0.0000 0.5000 0.5000 (multiplicity 2)  6 Be 2.31-2.32

## Properties
Formation energy from the elements ... 0.090 eV/atom
Calculated volume ... 82.0 Å³/f.u.
Total magnetization ... 0.5 Bohr magnetons per cell


No. 3
The following is a PBE calculation of a geometry-optimized BaBeZn structure, from Alexandria via LeMat-Bulk.

Lattice parameters (Å, degrees): 4.2379 4.2379 5.0240 90.00 90.00 120.00
Closest atoms and distances in Å follow each position.
Space group P-6m2 (No. 187)
Symmetry-distinct sites (fractional):
Ba: 0.0000 0.0000 0.0000 (multiplicity 1)  6 Be 3.51, 6 Zn 3.51
Be: 0.6667 0.3333 0.5000 (multiplicity 1)  3 Zn 2.45
Zn: 0.3333 0.6667 0.5000 (multiplicity 1)  3 Be 2.45

## Properties
Formation energy from the elements ... 0.205 eV/atom
Calculated volume ... 78.1 Å³/f.u.
Energy above the lowest structure with this stoichiometry ... 0.06 eV per formula unit
Total magnetization ... 0.0 Bohr magnetons per cell


No. 4
The following is a PBE calculation of a geometry-optimized BaBe2Zn structure, from Alexandria via LeMat-Bulk.

Lattice parameters (Å, degrees): 4.8404 4.8404 15.7548 90.00 90.00 90.00
Closest atoms and distances in Å follow each position.
Space group I4_1/amd (No. 141, origin choice 2)
Symmetry-distinct sites (fractional):
Ba: 0.0000 0.2500 0.3750 (multiplicity 4)  8 Be 3.35, 4 Zn 3.42
Be: 0.0000 0.0000 0.0000 (multiplicity 8)  2 Zn 2.31, 2 Be 2.42
Zn: 0.0000 0.2500 0.8750 (multiplicity 4)  4 Be 2.31

## Properties
Formation energy from the elements ... 0.362 eV/atom
Calculated volume ... 92.3 Å³/f.u.
Total magnetization ... 0.0 Bohr magnetons per cell


No. 5
The following is a PBE calculation of a geometry-optimized BaBe2Zn structure, from Alexandria via LeMat-Bulk.

Lattice parameters (Å, degrees): 4.3277 4.6104 4.6828 90.00 90.00 90.00
Closest atoms and distances in Å follow each position.
Space group Pmmm (No. 47)
Symmetry-distinct sites (fractional):
Ba: 0.0000 0.0000 0.0000 (multiplicity 1)  8 Be 3.16-3.19, 4 Zn 3.29
Be: 0.5000 0.0000 0.5000 (multiplicity 1)  4 Zn 3.16, 4 Ba 3.19, 4 Be 3.29
Be: 0.5000 0.5000 0.0000 (multiplicity 1)  4 Ba 3.16, 4 Zn 3.19, 4 Be 3.29
Zn: 0.0000 0.5000 0.5000 (multiplicity 1)  8 Be 3.16-3.19, 4 Ba 3.29

## Properties
Formation energy from the elements ... 0.916 eV/atom
Calculated volume ... 93.4 Å³/f.u.
Total magnetization ... 0.0 Bohr magnetons per cell


No. 6
The following is a PBE calculation of a geometry-optimized Ba4BeZn structure, from Alexandria via LeMat-Bulk.

Lattice parameters (Å, degrees): 10.3006 10.3006 10.3006 90.00 90.00 90.00
Closest atoms and distances in Å follow each position.
Space group F-43m (No. 216)
Symmetry-distinct sites (fractional):
Ba: 0.1248 0.1248 0.1248 (multiplicity 16)  6 Ba 3.64-3.65
Be: 0.2500 0.2500 0.7500 (multiplicity 4)  12 Ba 4.27, 4 Zn 4.46
Zn: 0.0000 0.0000 0.5000 (multiplicity 4)  12 Ba 4.27, 4 Be 4.46

## Properties
Formation energy from the elements ... 0.868 eV/atom
Calculated volume ... 273.2 Å³/f.u.
Total magnetization ... 0.0 Bohr magnetons per cell


No. 7
The following is a PBE calculation of a geometry-optimized BaBe2Zn structure, from Alexandria via LeMat-Bulk.

Lattice parameters (Å, degrees): 3.2316 3.2316 7.2837 90.00 90.00 90.00
Closest atoms and distances in Å follow each position.
Space group P4/mmm (No. 123)
Symmetry-distinct sites (fractional):
Ba: 0.0000 0.0000 0.0000 (multiplicity 1)  4 Ba 3.23, 8 Be 3.41
Be: 0.5000 0.5000 0.3475 (multiplicity 2)  1 Be 2.22
Zn: 0.0000 0.0000 0.5000 (multiplicity 1)  8 Be 2.54

## Properties
Formation energy from the elements ... 0.535 eV/atom
Calculated volume ... 76.1 Å³/f.u.
Total magnetization ... 0.0 Bohr magnetons per cell


No. 8
The following is a PBE calculation of a geometry-optimized BaBeZn2 structure, from Alexandria via LeMat-Bulk.

Lattice parameters (Å, degrees): 4.5362 4.6597 7.7252 90.00 90.00 90.00
Closest atoms and distances in Å follow each position.
Space group Cmmm (No. 65)
Symmetry-distinct sites (fractional):
Ba: 0.0000 0.0000 0.0000 (multiplicity 2)  4 Ba 3.25, 8 Zn 3.44-3.48
Be: 0.0000 0.0000 0.5000 (multiplicity 2)  8 Zn 2.60-2.66
Zn: 0.0000 0.5000 0.3348 (multiplicity 4)  1 Zn 2.55, 4 Be 2.60-2.66

## Properties
Formation energy from the elements ... 0.303 eV/atom
Calculated volume ... 81.6 Å³/f.u.
Total magnetization ... 0.0 Bohr magnetons per cell


Number 1: total DFT energy (no corrections) -1.784 eV per atom. Number 2: total DFT energy (no corrections) -2.572 eV per atom. Number 3: total DFT energy (no corrections) -2.102 eV per atom. Number 4: total DFT energy (no corrections) -2.300 eV per atom. Number 5: total DFT energy (no corrections) -1.746 eV per atom. Number 6: total DFT energy (no corrections) -1.247 eV per atom. Number 7: total DFT energy (no corrections) -2.127 eV per atom. Number 8: total DFT energy (no corrections) -1.746 eV per atom.